A plane-wave DFT calculation with SCAN was carried out for Fe2OsRh at its PBEsol-relaxed geometry.

abc: 4.1601 4.1601 2.9085
angles: 90.00 90.00 90.00
Closest atoms and distances in Å follow each position.
Atoms (fractional coordinates):
Fe 0.0000 0.5000 0.0000  4 Os 2.54, 4 Rh 2.54
Fe 0.5000 0.0000 0.0000  4 Os 2.54, 4 Rh 2.54
Os 0.0000 0.0000 0.5000  8 Fe 2.54
Rh 0.5000 0.5000 0.5000  8 Fe 2.54

The uncorrected energy comes out at -141.9 eV per formula unit. The calculation puts the formation energy at 0.014 eV/atom. The value obtained for the total moment is 7.91 μB/f.u. The crystal system is tetragonal.